Density functional theory data (PBE) for an optimized crystal structure of MgTlMo.

Cell lengths 7.525, 7.388, 2.942 Å; angles 81.25, 76.02, 22.73 degrees
Sites, in units of the cell vectors:
Mg 0.000 0.000 0.000
Tl 0.685 0.685 0.315
Mo 0.351 0.351 0.649

Results
distance to the lowest polymorph of the same formula: 0 meV per atom
N(E_F): 0.784 states/eV per atom
formation energy from the elements: 0.49 eV/atom